# 1
VASP calculation (GGA-PBE) on a relaxed structure of PrY5Mg4.

Volume in Å³/cell: 289.1
Formation enthalpy at 0 K in eV per atom: -0.0803

Cell lengths 3.763, 3.763, 20.414 Å; angles 90.00, 90.00, 90.00 degrees
Positions (direct):
1 Pr 0.000 0.000 0.000
2 Y 0.500 0.500 0.123
3 Y 0.500 0.500 0.311
4 Y 0.500 0.500 0.500
5 Y 0.500 0.500 0.689
6 Y 0.500 0.500 0.877
7 Mg 0.000 0.000 0.217
8 Mg 0.000 0.000 0.405
9 Mg 0.000 0.000 0.595
10 Mg 0.000 0.000 0.783

# 2
VASP calculation (GGA-PBE) on a relaxed structure of LaReW2.

Volume in Å³/cell: 289.2
Formation enthalpy at 0 K in eV per atom: 0.6396

Cell lengths 6.613, 6.613, 6.613 Å; angles 90.00, 90.00, 90.00 degrees
Positions (direct):
1 La 0.000 0.000 0.000
2 La 0.000 0.500 0.500
3 La 0.500 0.000 0.500
4 La 0.500 0.500 0.000
5 Re 0.000 0.000 0.500
6 Re 0.000 0.500 0.000
7 Re 0.500 0.000 0.000
8 Re 0.500 0.500 0.500
9 W 0.250 0.250 0.250
10 W 0.250 0.250 0.750
11 W 0.250 0.750 0.250
12 W 0.250 0.750 0.750
13 W 0.750 0.250 0.250
14 W 0.750 0.250 0.750
15 W 0.750 0.750 0.250
16 W 0.750 0.750 0.750

# 3
VASP calculation (GGA-PBE) on a relaxed structure of Pu2MgGa9.

Volume in Å³/cell: 238.8
Formation enthalpy at 0 K in eV per atom: -0.1511

Cell lengths 9.221, 9.221, 9.221 Å; angles 35.71, 35.71, 35.71 degrees
Positions (direct):
1 Pu 0.142 0.142 0.142
2 Pu 0.858 0.858 0.858
3 Mg 0.000 0.000 0.000
4 Ga 0.071 0.592 0.592
5 Ga 0.337 0.337 0.337
6 Ga 0.408 0.408 0.929
7 Ga 0.408 0.929 0.408
8 Ga 0.500 0.500 0.500
9 Ga 0.592 0.071 0.592
10 Ga 0.592 0.592 0.071
11 Ga 0.663 0.663 0.663
12 Ga 0.929 0.408 0.408

# 4
VASP calculation (GGA-PBE) on a relaxed structure of HoAgS2O8.

Volume in Å³/cell: 168.2
Uncorrected formation energy in eV per atom: -1.728

Cell lengths 8.122, 8.122, 8.122 Å; angles 36.32, 36.32, 36.32 degrees
Positions (direct):
1 Ho 0.000 0.000 0.000
2 Ag 0.500 0.500 0.500
3 S 0.250 0.250 0.250
4 S 0.750 0.750 0.750
5 O 0.004 0.259 0.557
6 O 0.186 0.186 0.186
7 O 0.259 0.557 0.004
8 O 0.443 0.996 0.741
9 O 0.557 0.004 0.259
10 O 0.741 0.443 0.996
11 O 0.814 0.814 0.814
12 O 0.996 0.741 0.443

# 5
VASP calculation (GGA-PBE) on a relaxed structure of Cu5Ni2.

Volume in Å³/cell: 174.8
Formation enthalpy at 0 K in eV per atom: 0.2014

Cell lengths 11.663, 2.502, 7.837 Å; angles 90.00, 130.15, 90.00 degrees
Positions (direct):
1 Cu 0.000 0.000 0.000
2 Cu 0.132 0.500 0.359
3 Cu 0.148 0.000 0.654
4 Cu 0.352 0.500 0.346
5 Cu 0.368 0.000 0.641
6 Cu 0.500 0.500 0.000
7 Cu 0.632 0.000 0.359
8 Cu 0.648 0.500 0.654
9 Cu 0.852 0.000 0.346
10 Cu 0.868 0.500 0.641
11 Ni 0.140 0.500 0.919
12 Ni 0.360 0.000 0.081
13 Ni 0.640 0.000 0.919
14 Ni 0.860 0.500 0.081

# 6
VASP calculation (GGA-PBE) on a relaxed structure of Lu2PaAu.

Volume in Å³/cell: 304.7
Formation enthalpy at 0 K in eV per atom: 0.0409

Cell lengths 3.264, 3.264, 33.027 Å; angles 90.00, 90.00, 120.00 degrees
Positions (direct):
1 Lu 0.000 0.000 0.097
2 Lu 0.000 0.000 0.903
3 Lu 0.333 0.667 0.570
4 Lu 0.333 0.667 0.763
5 Lu 0.667 0.333 0.237
6 Lu 0.667 0.333 0.430
7 Pa 0.000 0.000 0.000
8 Pa 0.333 0.667 0.667
9 Pa 0.667 0.333 0.333
10 Au 0.000 0.000 0.500
11 Au 0.333 0.667 0.167
12 Au 0.667 0.333 0.833

no.,DFT total energy (eV per atom)
1,-4.428
2,-10.181
3,-4.943
4,-6.340
5,-4.376
6,-5.413